Here is a relaxed GdLuCo crystal from Alexandria via LeMat-Bulk. Energies are from PBE.

The structure in POSCAR format:
```
GdLuCo
1.0
4.655 0.000 0.000
2.328 4.032 0.000
2.328 1.344 3.801
Gd Co Lu
1 1 1
Direct
0.000 0.000 0.000 Gd
0.250 0.250 0.250 Co
0.500 0.500 0.500 Lu
```

density of states at the Fermi level = 0.99 states/eV/atom
ΔE_f = -22 kJ/mol of formula units